Record 1
First-principles (PBE) data for an optimized crystal structure of CsHfFeGe2, as listed in Alexandria via LeMat-Bulk.

Values from the calculation:
DFT total energy	-26.14	eV per formula unit
crystal system	tetragonal
calculated volume	115.0	Å³/cell
symmetry	P4/mmm (123)

Geometry as CIF:
```
data_CsHfFeGe2
_space_group_name_H-M_alt 'P 1'
_space_group_IT_number 1
_space_group_name_Hall 'P 1'
_cell_length_a 4.750
_cell_length_b 4.750
_cell_length_c 5.098
_cell_angle_alpha 90.00
_cell_angle_beta 90.00
_cell_angle_gamma 90.00
loop_
_atom_site_label
_atom_site_fract_x
_atom_site_fract_y
_atom_site_fract_z
Ge1 0.000 0.500 0.000
Ge2 0.500 0.000 0.000
Hf1 0.000 0.000 0.500
Fe1 0.000 0.000 0.000
Cs1 0.500 0.500 0.500
```

---

Record 2
First-principles (PBE) data for an optimized crystal structure of Cs2KFeGe, as listed in Alexandria via LeMat-Bulk.

Values from the calculation:
DFT total energy	-13.68	eV per formula unit
crystal system	tetragonal
calculated volume	264.0	Å³/cell
symmetry	P4/mmm (123)

Geometry as CIF:
```
data_Cs2KFeGe
_space_group_name_H-M_alt 'P 1'
_space_group_IT_number 1
_space_group_name_Hall 'P 1'
_cell_length_a 7.490
_cell_length_b 4.705
_cell_length_c 7.490
_cell_angle_alpha 90.00
_cell_angle_beta 90.00
_cell_angle_gamma 90.00
loop_
_atom_site_label
_atom_site_fract_x
_atom_site_fract_y
_atom_site_fract_z
Cs1 0.500 0.000 0.000
Cs2 0.000 0.000 0.500
K1 0.500 0.500 0.500
Fe1 0.000 0.500 0.000
Ge1 0.000 0.000 0.000
```

---

Record 3
First-principles (PBE) data for an optimized crystal structure of CsFe2NiGe, as listed in Alexandria via LeMat-Bulk.

Values from the calculation:
DFT total energy	-14.54	eV per formula unit
crystal system	tetragonal
calculated volume	114.6	Å³/cell
symmetry	P4/mmm (123)

Geometry as CIF:
```
data_CsFe2NiGe
_space_group_name_H-M_alt 'P 1'
_space_group_IT_number 1
_space_group_name_Hall 'P 1'
_cell_length_a 4.624
_cell_length_b 5.357
_cell_length_c 4.624
_cell_angle_alpha 90.00
_cell_angle_beta 90.00
_cell_angle_gamma 90.00
loop_
_atom_site_label
_atom_site_fract_x
_atom_site_fract_y
_atom_site_fract_z
Ge1 0.000 0.500 0.000
Ni1 0.500 0.500 0.500
Fe1 0.000 0.000 0.500
Fe2 0.500 0.000 0.000
Cs1 0.000 0.000 0.000
```

---

Record 4
First-principles (PBE) data for an optimized crystal structure of CsFeGeP2, as listed in Alexandria via LeMat-Bulk.

Values from the calculation:
DFT total energy	-23.01	eV per formula unit
crystal system	tetragonal
calculated volume	109.3	Å³/cell
symmetry	P4/mmm (123)

Geometry as CIF:
```
data_CsFeGeP2
_space_group_name_H-M_alt 'P 1'
_space_group_IT_number 1
_space_group_name_Hall 'P 1'
_cell_length_a 4.725
_cell_length_b 4.893
_cell_length_c 4.725
_cell_angle_alpha 90.00
_cell_angle_beta 90.00
_cell_angle_gamma 90.00
loop_
_atom_site_label
_atom_site_fract_x
_atom_site_fract_y
_atom_site_fract_z
Fe1 0.000 0.000 0.000
P1 0.000 0.000 0.500
P2 0.500 0.000 0.000
Cs1 0.500 0.500 0.500
Ge1 0.000 0.500 0.000
```

---

Record 5
First-principles (PBE) data for an optimized crystal structure of Cs2FeGeS4, as listed in Alexandria via LeMat-Bulk.

Values from the calculation:
E_form (uncorrected)	-0.799	eV/atom
crystal system	orthorhombic
calculated volume	527.9	Å³/cell
symmetry	Fddd (70)

Geometry as CIF:
```
data_Cs2FeGeS4
_space_group_name_H-M_alt 'P 1'
_space_group_IT_number 1
_space_group_name_Hall 'P 1'
_cell_length_a 6.143
_cell_length_b 7.563
_cell_length_c 12.808
_cell_angle_alpha 84.41
_cell_angle_beta 76.13
_cell_angle_gamma 66.04
loop_
_atom_site_label
_atom_site_fract_x
_atom_site_fract_y
_atom_site_fract_z
Fe1 0.750 0.500 0.500
Fe2 0.000 0.000 0.000
S1 0.881 0.824 0.905
S2 0.536 0.324 0.595
S3 0.869 0.676 0.595
S4 0.455 0.676 0.405
S5 0.214 0.176 0.905
S6 0.610 0.176 0.095
S7 0.295 0.824 0.095
S8 0.140 0.324 0.405
Ge1 0.250 0.500 0.500
Ge2 0.500 0.000 0.000
Cs1 0.573 0.500 0.854
Cs2 0.927 0.500 0.146
Cs3 0.177 0.000 0.646
Cs4 0.823 0.000 0.354
```

---

Record 6
First-principles (PBE) data for an optimized crystal structure of Cs2FeGeSe4, as listed in Alexandria via LeMat-Bulk.

Values from the calculation:
E_form (uncorrected)	-0.730	eV/atom
crystal system	orthorhombic
calculated volume	589.0	Å³/cell
symmetry	Fddd (70)

Geometry as CIF:
```
data_Cs2FeGeSe4
_space_group_name_H-M_alt 'P 1'
_space_group_IT_number 1
_space_group_name_Hall 'P 1'
_cell_length_a 6.471
_cell_length_b 7.792
_cell_length_c 13.241
_cell_angle_alpha 84.18
_cell_angle_beta 75.86
_cell_angle_gamma 65.47
loop_
_atom_site_label
_atom_site_fract_x
_atom_site_fract_y
_atom_site_fract_z
Se1 0.891 0.819 0.901
Se2 0.290 0.819 0.099
Se3 0.140 0.319 0.401
Se4 0.859 0.681 0.599
Se5 0.460 0.681 0.401
Se6 0.208 0.181 0.901
Se7 0.542 0.319 0.599
Se8 0.610 0.181 0.099
Ge1 0.500 0.000 0.000
Ge2 0.250 0.500 0.500
Cs1 0.179 0.000 0.642
Cs2 0.571 0.500 0.858
Cs3 0.821 0.000 0.358
Cs4 0.929 0.500 0.142
Fe1 0.000 0.000 0.000
Fe2 0.750 0.500 0.500
```

---

Record 7
First-principles (PBE) data for an optimized crystal structure of Cs2FeH6, as listed in Alexandria via LeMat-Bulk.

Values from the calculation:
DFT total energy	-30.21	eV per formula unit
crystal system	orthorhombic
calculated volume	125.1	Å³/cell
symmetry	Cmmm (65)

Geometry as CIF:
```
data_Cs2FeH6
_space_group_name_H-M_alt 'P 1'
_space_group_IT_number 1
_space_group_name_Hall 'P 1'
_cell_length_a 3.507
_cell_length_b 6.838
_cell_length_c 6.238
_cell_angle_alpha 123.23
_cell_angle_beta 90.00
_cell_angle_gamma 90.00
loop_
_atom_site_label
_atom_site_fract_x
_atom_site_fract_y
_atom_site_fract_z
H1 0.000 0.052 0.778
H2 0.000 0.726 0.778
H3 0.500 0.072 0.000
H4 0.500 0.928 0.000
H5 0.000 0.948 0.222
H6 0.000 0.274 0.222
Cs1 0.500 0.319 0.638
Cs2 0.500 0.681 0.362
Fe1 0.000 0.000 0.000
```

---

Record 8
First-principles (PBE) data for an optimized crystal structure of Cs2FeH, as listed in Alexandria via LeMat-Bulk.

Values from the calculation:
DFT total energy	-10.10	eV per formula unit
crystal system	cubic
calculated volume	155.0	Å³/cell
symmetry	Fm-3m (225)

Geometry as CIF:
```
data_Cs2FeH
_space_group_name_H-M_alt 'P 1'
_space_group_IT_number 1
_space_group_name_Hall 'P 1'
_cell_length_a 6.030
_cell_length_b 6.030
_cell_length_c 6.030
_cell_angle_alpha 60.00
_cell_angle_beta 60.00
_cell_angle_gamma 60.00
loop_
_atom_site_label
_atom_site_fract_x
_atom_site_fract_y
_atom_site_fract_z
Cs1 0.750 0.750 0.750
Cs2 0.250 0.250 0.250
H1 0.000 0.000 0.000
Fe1 0.500 0.500 0.500
```

---

Record 9
First-principles (PBE) data for an optimized crystal structure of CsFe3H, as listed in Alexandria via LeMat-Bulk.

Values from the calculation:
DFT total energy	-22.88	eV per formula unit
crystal system	cubic
calculated volume	69.9	Å³/cell
symmetry	Pm-3m (221)

Geometry as CIF:
```
data_CsFe3H
_space_group_name_H-M_alt 'P 1'
_space_group_IT_number 1
_space_group_name_Hall 'P 1'
_cell_length_a 4.120
_cell_length_b 4.120
_cell_length_c 4.120
_cell_angle_alpha 90.00
_cell_angle_beta 90.00
_cell_angle_gamma 90.00
loop_
_atom_site_label
_atom_site_fract_x
_atom_site_fract_y
_atom_site_fract_z
Cs1 0.500 0.500 0.500
Fe1 0.000 0.500 0.000
Fe2 0.500 0.000 0.000
Fe3 0.000 0.000 0.500
H1 0.000 0.000 0.000
```

---

Record 10
First-principles (PBE) data for an optimized crystal structure of CsFeH4, as listed in Alexandria via LeMat-Bulk.

Values from the calculation:
DFT total energy	-22.87	eV per formula unit
crystal system	orthorhombic
calculated volume	173.0	Å³/cell
symmetry	Cmcm (63)

Geometry as CIF:
```
data_CsFeH4
_space_group_name_H-M_alt 'P 1'
_space_group_IT_number 1
_space_group_name_Hall 'P 1'
_cell_length_a 4.885
_cell_length_b 6.235
_cell_length_c 6.480
_cell_angle_alpha 61.25
_cell_angle_beta 89.99
_cell_angle_gamma 89.98
loop_
_atom_site_label
_atom_site_fract_x
_atom_site_fract_y
_atom_site_fract_z
H1 0.750 0.821 0.875
H2 0.528 0.901 0.196
H3 0.028 0.098 0.804
H4 0.472 0.099 0.804
H5 0.750 0.304 0.875
H6 0.972 0.902 0.196
H7 0.250 0.696 0.125
H8 0.250 0.179 0.125
Cs1 0.750 0.344 0.312
Cs2 0.250 0.656 0.688
Fe1 0.750 0.016 0.967
Fe2 0.250 0.984 0.033
```

---

Record 11
First-principles (PBE) data for an optimized crystal structure of CsFe3H, as listed in Alexandria via LeMat-Bulk.

Values from the calculation:
DFT total energy	-14.60	eV per formula unit
crystal system	cubic
calculated volume	119.2	Å³/cell
symmetry	Pm-3m (221)

Geometry as CIF:
```
data_CsFe3H
_space_group_name_H-M_alt 'P 1'
_space_group_IT_number 1
_space_group_name_Hall 'P 1'
_cell_length_a 4.921
_cell_length_b 4.921
_cell_length_c 4.921
_cell_angle_alpha 90.00
_cell_angle_beta 90.00
_cell_angle_gamma 90.00
loop_
_atom_site_label
_atom_site_fract_x
_atom_site_fract_y
_atom_site_fract_z
Fe1 0.500 0.000 0.000
Fe2 0.000 0.500 0.000
Fe3 0.000 0.000 0.500
Cs1 0.000 0.000 0.000
H1 0.500 0.500 0.500
```

---

Record 12
First-principles (PBE) data for an optimized crystal structure of CsK2FeH6, as listed in Alexandria via LeMat-Bulk.

Values from the calculation:
DFT total energy	-32.63	eV per formula unit
crystal system	trigonal
calculated volume	160.6	Å³/cell
symmetry	R-3 (148)

Geometry as CIF:
```
data_CsK2FeH6
_space_group_name_H-M_alt 'P 1'
_space_group_IT_number 1
_space_group_name_Hall 'P 1'
_cell_length_a 5.974
_cell_length_b 5.974
_cell_length_c 5.974
_cell_angle_alpha 62.94
_cell_angle_beta 62.94
_cell_angle_gamma 62.94
loop_
_atom_site_label
_atom_site_fract_x
_atom_site_fract_y
_atom_site_fract_z
H1 0.844 0.263 0.089
H2 0.263 0.089 0.844
H3 0.911 0.156 0.737
H4 0.156 0.737 0.911
H5 0.089 0.844 0.263
H6 0.737 0.911 0.156
K1 0.760 0.760 0.760
K2 0.240 0.240 0.240
Fe1 0.000 0.000 0.000
Cs1 0.500 0.500 0.500
```